[1]
Material: Dy7ErTm3
Method: DFT, PBE
State: relaxed

Results
The value obtained for the formation energy is 0.1446 eV per atom. As for the density of states at the Fermi level: 1.565 states/eV per atom. As for the energy above the lowest structure with this stoichiometry: 0.0 meV per atom.

abc: 8.8233 9.8015 5.4725
angles: 89.98 128.35 105.98
Fractional coordinates of all 11 atoms:
Dy 0.9164 0.8305 0.9164
Dy 0.8216 0.6414 0.3217
Dy 0.6457 0.2914 0.1458
Dy 0.3543 0.7086 0.8542
Dy 0.5000 0.0000 0.5000
Dy 0.1784 0.3586 0.6783
Dy 0.0836 0.1695 0.0836
Er 0.5000 0.5000 0.5000
Tm 0.2205 0.0002 0.7205
Tm 0.0000 0.5000 0.0000
Tm 0.7795 0.9998 0.2795



[2]
Material: Dy8Er5Tm
Method: DFT, PBE
State: relaxed

Results
The value obtained for the formation energy is 0.2605 eV per atom. As for the density of states at the Fermi level: 1.496 states/eV per atom.

abc: 8.3626 8.3627 8.3626
angles: 110.90 106.64 110.90
Fractional coordinates of all 14 atoms:
Dy 0.1631 0.7367 0.0786
Dy 0.9214 0.0846 0.6582
Dy 0.7302 0.2548 0.3359
Dy 0.6641 0.3943 0.9189
Dy 0.5246 0.6057 0.2698
Dy 0.5736 0.9154 0.8369
Dy 0.3418 0.2633 0.4264
Dy 0.0811 0.7452 0.4754
Er 0.0348 0.3194 0.1338
Er 0.8662 0.9010 0.1856
Er 0.8144 0.6806 0.7154
Er 0.5000 0.0000 0.5000
Er 0.2846 0.0990 0.9652
Tm 0.2500 0.5000 0.7500



[3]
Material: DyEr3Tm3
Method: DFT, PBE
State: relaxed

Results
The value obtained for the formation energy is 0.1435 eV per atom. As for the density of states at the Fermi level: 1.410 states/eV per atom. As for the energy above the lowest structure with this stoichiometry: 141.6 meV per atom.

abc: 6.0714 6.0714 14.3844
angles: 77.82 77.82 60.00
Fractional coordinates of all 14 atoms:
Dy 0.6667 0.6667 0.9999
Dy 0.3333 0.3333 0.0001
Er 0.1986 0.8670 0.3986
Er 0.5358 0.1986 0.3986
Er 0.8670 0.5358 0.3986
Er 0.1330 0.4642 0.6014
Er 0.4642 0.8014 0.6014
Er 0.8014 0.1330 0.6014
Tm 0.9333 0.2673 0.2001
Tm 0.5993 0.9333 0.2001
Tm 0.2673 0.5993 0.2001
Tm 0.7327 0.4007 0.7999
Tm 0.4007 0.0667 0.7999
Tm 0.0667 0.7327 0.7999



[4]
Material: Dy3ErTm7
Method: DFT, PBE
State: relaxed

Results
The value obtained for the formation energy is 0.1951 eV per atom. As for the density of states at the Fermi level: 1.578 states/eV per atom. As for the energy above the lowest structure with this stoichiometry: 32.5 meV per atom.

abc: 8.4784 6.9393 6.9393
angles: 120.00 90.00 90.00
Fractional coordinates of all 11 atoms:
Dy 0.7834 0.5001 0.4999
Dy 0.7834 0.5001 0.0001
Dy 0.7834 0.9999 0.4999
Er 0.4470 0.3333 0.6667
Tm 0.1189 0.1676 0.8324
Tm 0.1189 0.1676 0.3353
Tm 0.1193 0.6667 0.3333
Tm 0.4473 0.8323 0.1677
Tm 0.4473 0.3353 0.1677
Tm 0.4473 0.8323 0.6647
Tm 0.1189 0.6647 0.8324



[5]
Material: Dy2ErTm
Method: DFT, PBE
State: relaxed

Results
The value obtained for the formation energy is 0.0194 eV per atom. As for the density of states at the Fermi level: 1.130 states/eV per atom. As for the energy above the lowest structure with this stoichiometry: 18.4 meV per atom.

abc: 3.5043 4.9683 7.0255
angles: 90.00 90.00 90.00
Fractional coordinates of all 4 atoms:
Dy 0.0000 0.0000 0.9991
Dy 0.5000 0.5000 0.2506
Er 0.0000 0.0000 0.5010
Tm 0.5000 0.5000 0.7493



[6]
Material: DyEr3Tm8
Method: DFT, PBE
State: relaxed

Results
The value obtained for the formation energy is 0.7281 eV per atom. As for the density of states at the Fermi level: 0.911 states/eV per atom.

abc: 7.5576 7.5576 9.2625
angles: 114.08 114.08 90.00
Fractional coordinates of all 12 atoms:
Dy 0.0000 0.0000 0.0000
Er 0.2500 0.7500 0.5000
Er 0.5000 0.5000 0.0000
Er 0.7500 0.2500 0.5000
Tm 0.8748 0.3756 0.2504
Tm 0.3756 0.3756 0.2504
Tm 0.1252 0.1252 0.7496
Tm 0.6244 0.1252 0.7496
Tm 0.3756 0.8748 0.2504
Tm 0.8748 0.8748 0.2504
Tm 0.6244 0.6244 0.7496
Tm 0.1252 0.6244 0.7496



[7]
Material: Dy3Er4Tm2
Method: DFT, PBE
State: relaxed

Results
The value obtained for the formation energy is 0.1060 eV per atom. As for the density of states at the Fermi level: 1.530 states/eV per atom.

abc: 6.0323 11.0972 11.0972
angles: 61.87 62.20 62.20
Fractional coordinates of all 18 atoms:
Dy 0.7478 0.0700 0.2638
Dy 0.7522 0.7362 0.9300
Dy 0.2522 0.9300 0.7362
Dy 0.2478 0.2638 0.0700
Dy 0.2500 0.5969 0.4031
Dy 0.7500 0.4031 0.5969
Er 0.4213 0.9052 0.1873
Er 0.0787 0.8127 0.0948
Er 0.5787 0.0948 0.8127
Er 0.9213 0.1873 0.9052
Er 0.0779 0.1462 0.4289
Er 0.4221 0.5711 0.8538
Er 0.9221 0.8538 0.5711
Er 0.5779 0.4289 0.1462
Tm 0.4213 0.2394 0.5205
Tm 0.0787 0.4795 0.7606
Tm 0.5787 0.7606 0.4795
Tm 0.9213 0.5205 0.2394



[8]
Material: Dy3ErTm7
Method: DFT, PBE
State: relaxed

Results
The value obtained for the formation energy is 0.1626 eV per atom. As for the density of states at the Fermi level: 1.745 states/eV per atom. As for the energy above the lowest structure with this stoichiometry: 0.0 meV per atom.

abc: 5.4283 9.8763 8.7308
angles: 106.18 128.45 89.99
Fractional coordinates of all 11 atoms:
Dy 0.2812 0.0033 0.7814
Dy 0.0000 0.5000 0.0000
Dy 0.7188 0.9967 0.2186
Er 0.5000 0.5000 0.5000
Tm 0.9090 0.8305 0.9090
Tm 0.8589 0.7094 0.3589
Tm 0.6792 0.3605 0.1793
Tm 0.3208 0.6395 0.8207
Tm 0.5000 0.0000 0.5000
Tm 0.1411 0.2906 0.6411
Tm 0.0910 0.1695 0.0910



[9]
Material: Dy2ErTm
Method: DFT, PBE
State: relaxed

Results
The value obtained for the formation energy is 0.0011 eV per atom. As for the density of states at the Fermi level: 1.607 states/eV per atom. As for the energy above the lowest structure with this stoichiometry: 0.0 meV per atom.

abc: 5.5634 12.4328 7.1906
angles: 90.00 90.00 90.00
Fractional coordinates of all 16 atoms:
Dy 0.4433 0.0839 0.0001
Dy 0.4433 0.5839 0.4999
Dy 0.9433 0.9161 0.9999
Dy 0.9433 0.4161 0.5001
Dy 0.9433 0.4161 0.0005
Dy 0.4433 0.5839 0.9995
Dy 0.4433 0.0839 0.5005
Dy 0.9433 0.9161 0.4995
Er 0.9433 0.6670 0.2498
Er 0.4433 0.3330 0.7502
Er 0.4433 0.8330 0.7498
Er 0.9433 0.1670 0.2502
Tm 0.9432 0.6668 0.7497
Tm 0.4432 0.8332 0.2497
Tm 0.9432 0.1668 0.7503
Tm 0.4432 0.3332 0.2503



[10]
Material: Dy2ErTm9
Method: DFT, PBE
State: relaxed

Results
The value obtained for the formation energy is 0.0263 eV per atom. As for the density of states at the Fermi level: 1.442 states/eV per atom. As for the energy above the lowest structure with this stoichiometry: 0.0 meV per atom.

abc: 4.9388 4.9388 14.8168
angles: 90.00 90.00 90.00
Fractional coordinates of all 12 atoms:
Dy 0.0000 0.0000 0.3332
Dy 0.0000 0.0000 0.6668
Er 0.0000 0.0000 0.0000
Tm 0.5000 0.5000 0.0000
Tm 0.5000 0.5000 0.3330
Tm 0.5000 0.5000 0.6670
Tm 0.5000 0.0000 0.1662
Tm 0.5000 0.0000 0.5000
Tm 0.5000 0.0000 0.8338
Tm 0.0000 0.5000 0.1662
Tm 0.0000 0.5000 0.5000
Tm 0.0000 0.5000 0.8338



[11]
Material: Dy4Er5Tm
Method: DFT, PBE
State: relaxed

Results
The value obtained for the formation energy is 0.3113 eV per atom. As for the density of states at the Fermi level: 1.447 states/eV per atom. As for the energy above the lowest structure with this stoichiometry: 255.3 meV per atom.

abc: 6.2044 7.7915 7.7915
angles: 80.88 66.54 66.54
Fractional coordinates of all 10 atoms:
Dy 0.4048 0.3911 0.7012
Dy 0.7959 0.7012 0.6089
Dy 0.1059 0.2988 0.3911
Dy 0.4970 0.6089 0.2988
Er 0.8050 0.3765 0.9161
Er 0.1815 0.9161 0.6235
Er 0.7211 0.0839 0.3765
Er 0.0976 0.6235 0.0839
Er 0.6821 0.0000 0.0000
Tm 0.2192 0.0000 0.0000



[12]
Material: Dy7Er12Tm
Method: DFT, PBE
State: relaxed

Results
The value obtained for the formation energy is 0.3043 eV per atom. As for the density of states at the Fermi level: 0.883 states/eV per atom. As for the energy above the lowest structure with this stoichiometry: 0.0 meV per atom.

abc: 8.5808 8.5808 8.5808
angles: 95.03 95.03 95.03
Fractional coordinates of all 20 atoms:
Dy 0.9149 0.6466 0.9778
Dy 0.3534 0.0222 0.0851
Dy 0.0222 0.0851 0.3534
Dy 0.5000 0.5000 0.5000
Dy 0.9778 0.9149 0.6466
Dy 0.6466 0.9778 0.9149
Dy 0.0851 0.3534 0.0222
Er 0.8153 0.2503 0.6873
Er 0.7497 0.3127 0.1847
Er 0.4821 0.1486 0.4179
Er 0.8514 0.5821 0.5179
Er 0.3127 0.1847 0.7497
Er 0.5821 0.5179 0.8514
Er 0.4179 0.4821 0.1486
Er 0.6873 0.8153 0.2503
Er 0.1486 0.4179 0.4821
Er 0.5179 0.8514 0.5821
Er 0.2503 0.6873 0.8153
Er 0.1847 0.7497 0.3127
Tm 0.0000 0.0000 0.0000



[13]
Material: DyErTm4
Method: DFT, PBE
State: relaxed

Results
The value obtained for the formation energy is 0.1588 eV per atom. As for the density of states at the Fermi level: 1.637 states/eV per atom. As for the energy above the lowest structure with this stoichiometry: 0.0 meV per atom.

abc: 6.3613 8.7837 8.4101
angles: 112.23 100.35 112.35
Fractional coordinates of all 12 atoms:
Dy 0.2502 0.0002 0.0004
Dy 0.7498 0.9998 0.9996
Er 0.3371 0.5871 0.1741
Er 0.6629 0.4129 0.8259
Tm 0.0471 0.1687 0.7427
Tm 0.7458 0.7106 0.6080
Tm 0.1956 0.5740 0.7427
Tm 0.3622 0.8975 0.6080
Tm 0.6378 0.1025 0.3920
Tm 0.8044 0.4260 0.2573
Tm 0.2542 0.2894 0.3920
Tm 0.9529 0.8313 0.2573



[14]
Material: Dy2ErTm
Method: DFT, PBE
State: relaxed

Results
The value obtained for the formation energy is 0.1385 eV per atom. As for the density of states at the Fermi level: 2.445 states/eV per atom. As for the energy above the lowest structure with this stoichiometry: 137.4 meV per atom.

abc: 5.6073 5.6073 5.6073
angles: 60.00 60.00 60.00
Fractional coordinates of all 4 atoms:
Tm 0.5000 0.5000 0.5000
Dy 0.2500 0.2500 0.2500
Dy 0.7500 0.7500 0.7500
Er 0.0000 0.0000 0.0000



[15]
Material: Dy5Er5Tm
Method: DFT, PBE
State: relaxed

Results
The value obtained for the formation energy is 0.2885 eV per atom. As for the density of states at the Fermi level: 1.601 states/eV per atom. As for the energy above the lowest structure with this stoichiometry: 137.3 meV per atom.

abc: 5.8578 9.7722 6.8694
angles: 110.45 90.00 107.44
Last column: magnetic moment on the atom in μB.
Fractional coordinates of all 11 atoms:
Dy 0.8221 0.6443 0.0671  0.03
Dy 0.8222 0.6444 0.5764  0.03
Dy 0.5000 0.0000 0.0000  0.30
Dy 0.1778 0.3556 0.4236  0.03
Dy 0.1779 0.3557 0.9329  0.03
Er 0.6690 0.3379 0.1699  0.07
Er 0.6233 0.2466 0.6243  0.03
Er 0.0000 0.0000 0.5000  0.04
Er 0.3767 0.7534 0.3757  0.03
Er 0.3310 0.6621 0.8301  0.07
Tm 0.0000 0.0000 0.0000  0.28



[16]
Material: Dy5Er4Tm2
Method: DFT, PBE
State: relaxed

Results
The value obtained for the formation energy is 0.1394 eV per atom. As for the density of states at the Fermi level: 1.658 states/eV per atom. As for the energy above the lowest structure with this stoichiometry: 0.0 meV per atom.

abc: 6.5332 6.5332 9.1036
angles: 75.92 75.92 67.26
Fractional coordinates of all 11 atoms:
Dy 0.6526 0.2099 0.7771
Dy 0.3474 0.7901 0.2229
Dy 0.0000 0.0000 0.5000
Dy 0.2099 0.6526 0.7771
Dy 0.7901 0.3474 0.2229
Er 0.3150 0.3150 0.4996
Er 0.6850 0.6850 0.5004
Er 0.6678 0.6678 0.8797
Er 0.3322 0.3322 0.1203
Tm 0.1457 0.1457 0.8799
Tm 0.8543 0.8543 0.1201



[17]
Material: Dy7Er4Tm2
Method: DFT, PBE
State: relaxed

Results
The value obtained for the formation energy is 0.0739 eV per atom. As for the density of states at the Fermi level: 1.660 states/eV per atom.

abc: 8.7850 8.7336 6.6545
angles: 100.49 69.96 65.43
Fractional coordinates of all 13 atoms:
Dy 0.0074 0.5622 0.7507
Dy 0.9926 0.4378 0.2493
Dy 0.0000 0.0000 0.0000
Dy 0.5292 0.7850 0.8214
Dy 0.4708 0.2150 0.1786
Dy 0.6406 0.8165 0.2738
Dy 0.3594 0.1835 0.7262
Er 0.1483 0.0761 0.4318
Er 0.8517 0.9239 0.5682
Er 0.6720 0.3350 0.5059
Er 0.3280 0.6650 0.4941
Tm 0.7287 0.4021 0.9727
Tm 0.2713 0.5979 0.0273



[18]
Material: DyEr12Tm6
Method: DFT, PBE
State: relaxed

Results
The value obtained for the formation energy is 0.1631 eV per atom. As for the density of states at the Fermi level: 1.729 states/eV per atom. As for the energy above the lowest structure with this stoichiometry: 0.0 meV per atom.

abc: 8.4005 8.4005 8.4005
angles: 88.07 88.07 88.07
Fractional coordinates of all 19 atoms:
Dy 0.0000 0.0000 0.0000
Er 0.7742 0.5438 0.4354
Er 0.4354 0.7742 0.5438
Er 0.5438 0.4354 0.7742
Er 0.2258 0.4562 0.5646
Er 0.5646 0.2258 0.4562
Er 0.4562 0.5646 0.2258
Er 0.0089 0.2083 0.3567
Er 0.7917 0.6433 0.9911
Er 0.6433 0.9911 0.7917
Er 0.9911 0.7917 0.6433
Er 0.2083 0.3567 0.0089
Er 0.3567 0.0089 0.2083
Tm 0.7443 0.9077 0.3108
Tm 0.6892 0.2557 0.0923
Tm 0.0923 0.6892 0.2557
Tm 0.2557 0.0923 0.6892
Tm 0.3108 0.7443 0.9077
Tm 0.9077 0.3108 0.7443



[19]
Material: Dy8Er6Tm
Method: DFT, PBE
State: relaxed

Results
The value obtained for the formation energy is 0.2465 eV per atom. As for the density of states at the Fermi level: 1.496 states/eV per atom. As for the energy above the lowest structure with this stoichiometry: 116.9 meV per atom.

abc: 6.4760 9.2910 9.2910
angles: 120.00 90.00 90.00
Fractional coordinates of all 15 atoms:
Dy 0.5949 0.0900 0.4101
Dy 0.5949 0.5899 0.6799
Dy 0.5949 0.3201 0.9100
Dy 0.4051 0.9100 0.5899
Dy 0.4051 0.4101 0.3201
Dy 0.4051 0.6799 0.0900
Dy 0.1657 0.3333 0.6667
Dy 0.8343 0.6667 0.3333
Er 0.8979 0.6678 0.9782
Er 0.8979 0.0218 0.6896
Er 0.8979 0.3104 0.3322
Er 0.1021 0.3322 0.0218
Er 0.1021 0.9782 0.3104
Er 0.1021 0.6896 0.6678
Tm 0.5000 0.0000 0.0000



[20]
Material: Dy8Er2Tm3
Method: DFT, PBE
State: relaxed

Results
The value obtained for the formation energy is 0.2310 eV per atom. As for the density of states at the Fermi level: 1.558 states/eV per atom.

abc: 5.5522 7.5556 10.6929
angles: 110.69 90.01 90.00
Fractional coordinates of all 13 atoms:
Dy 0.0003 0.6676 0.3352
Dy 0.9997 0.3324 0.6648
Dy 0.9999 0.1322 0.2644
Dy 0.0001 0.8678 0.7356
Dy 0.4999 0.6032 0.7849
Dy 0.4999 0.1817 0.7849
Dy 0.5001 0.8183 0.2151
Dy 0.5001 0.3968 0.2151
Er 0.4996 0.2411 0.4821
Er 0.5004 0.7589 0.5179
Tm 0.5000 0.0000 0.0000
Tm 0.0000 0.2843 0.0000
Tm 0.0000 0.7157 0.0000